Compound: Er4TlBiSe2
Source: Alexandria
Functional: PBE
Structure: optimized geometry

Cell: 7.288 4.137 7.479 Å, 90.00 108.37 90.00°
Atoms (fractional coordinates):
1 Er 0.239 0.000 0.234
2 Er 0.254 0.500 0.767
3 Er 0.746 0.500 0.233
4 Er 0.761 0.000 0.766
5 Tl 0.000 0.000 0.500
6 Bi 0.500 0.500 0.500
7 Se 0.000 0.500 0.000
8 Se 0.500 0.000 0.000

## Properties
Volume: 26.7 Å³ per atom
ΔE_f (raw): -104 kJ/mol of atoms
DOS at the Fermi energy: 3.77 states/eV/cell
DFT total energy: -40.1 eV per formula unit